# Y3Ni4Pt4 | Alexandria | PBE-GGA | relaxed
# V (Å³ per cell): 204
# SG: No. 217
# Energy relative to the elements (eV/atom): -0.58
data_Y3Ni4Pt4
_cell_length_a 6.421
_cell_length_b 6.421
_cell_length_c 6.421
_cell_angle_alpha 109.47
_cell_angle_beta 109.47
_cell_angle_gamma 109.47
_symmetry_space_group_name_H-M 'P 1'
_symmetry_Int_Tables_number 1
_symmetry_space_group_name_Hall 'P 1'
loop_
_atom_site_label
_atom_site_type_symbol
_atom_site_fract_x
_atom_site_fract_y
_atom_site_fract_z
Y1 Y 0.000 0.500 0.500
Y2 Y 0.500 0.000 0.500
Y3 Y 0.500 0.500 0.000
Ni1 Ni 0.000 0.000 0.230
Ni2 Ni 0.000 0.230 0.000
Ni3 Ni 0.230 0.000 0.000
Ni4 Ni 0.770 0.770 0.770
Pt1 Pt 0.000 0.000 0.596
Pt2 Pt 0.000 0.596 0.000
Pt3 Pt 0.404 0.404 0.404
Pt4 Pt 0.596 0.000 0.000